DFT (GGA-PBE) results for crystalline ErCoNiGe3 at its relaxed geometry.

Results
The total energy comes out at -5.47 eV per atom. The calculation puts the total magnetization at 0.0 μB per formula unit.

Cell and atoms, written as CIF:
```
data_ErCoNiGe3
_cell_length_a 5.6259
_cell_length_b 14.2479
_cell_length_c 5.6599
_cell_angle_alpha 90.00
_cell_angle_beta 90.00
_cell_angle_gamma 90.00
_space_group_name_H-M_alt 'C m c m'
_space_group_IT_number 63
_space_group_name_Hall '-C 2c 2'
loop_
_atom_site_label
_atom_site_type_symbol
_atom_site_fract_x
_atom_site_fract_y
_atom_site_fract_z
Er1 Er 0.0000 0.1755 0.2500
Co1 Co 0.0000 0.4136 0.7500
Ni1 Ni 0.0000 0.0971 0.7500
Ge1 Ge 0.0000 0.2558 0.7500
Ge2 Ge 0.2463 0.0000 0.0000
```